PBE HfGaO3, relaxed; energy relative to the elements, uncorrected = -1.57 eV per atom; DFT total energy = -7.14 eV/atom
1.0
3.7495 0.0000 0.0000
0.0000 3.7495 0.0000
0.0000 0.0000 3.7495
O Hf Ga
3 1 1
direct
0.5000 0.0000 0.0000 O
0.0000 0.5000 0.0000 O
0.0000 0.0000 0.5000 O
0.5000 0.5000 0.5000 Hf
0.0000 0.0000 0.0000 Ga

PBE HfGaP2O, relaxed; offset from the most stable computed form = 417 meV/atom; energy relative to the elements, uncorrected = -0.09 eV per atom; DFT total energy = -5.84 eV/atom
1.0
-0.9477 -3.6546 2.9132
4.5473 -1.4075 -0.2864
0.8252 2.0804 2.8783
Ga P O Hf
1 2 1 1
direct
0.0000 0.0000 0.0000 Ga
0.0000 0.5000 0.0000 P
0.5000 0.0000 0.0000 P
0.0000 0.0000 0.5000 O
0.5000 0.5000 0.5000 Hf

PBE HfGaP2O, relaxed; offset from the most stable computed form = 0 meV/atom; energy relative to the elements, uncorrected = -0.51 eV per atom; DFT total energy = -6.26 eV/atom
1.0
-1.3334 -4.2214 -2.6665
-1.1490 -2.4265 4.4159
-3.7001 1.3190 -0.2380
Ga O P Hf
1 1 2 1
direct
0.5000 0.5000 0.5000 Ga
0.0000 0.0000 0.5000 O
0.0000 0.5000 0.0000 P
0.5000 0.0000 0.0000 P
0.0000 0.0000 0.0000 Hf

PBE HfPaGaO6, relaxed; energy relative to the elements, uncorrected = -3.02 eV per atom; DFT total energy = -8.83 eV/atom
1.0
5.2329 0.0000 0.0000
-2.6164 4.5318 0.0000
0.0000 0.0000 9.6930
O Hf Pa Ga
12 2 2 2
direct
0.3469 0.3374 0.8660 O
0.6626 0.6531 0.6340 O
0.6626 0.0095 0.8660 O
0.6531 0.9905 0.3660 O
0.3374 0.9905 0.1340 O
0.6531 0.6626 0.1340 O
0.0095 0.3469 0.1340 O
0.3374 0.3469 0.3660 O
0.0095 0.6626 0.3660 O
0.9905 0.6531 0.8660 O
0.9905 0.3374 0.6340 O
0.3469 0.0095 0.6340 O
0.3333 0.6667 0.7500 Hf
0.6667 0.3333 0.2500 Hf
0.0000 0.0000 0.0000 Pa
0.0000 0.0000 0.5000 Pa
0.3333 0.6667 0.2500 Ga
0.6667 0.3333 0.7500 Ga

PBE HfGa2Pb3O9, relaxed; energy relative to the elements, uncorrected = -1.60 eV per atom; DFT total energy = -6.39 eV/atom
1.0
-0.8165 -4.9769 2.6439
5.1291 1.2974 -2.1061
1.7685 2.9697 6.1363
O Ga Hf Pb
9 2 1 3
direct
0.3349 0.1674 0.6764 O
0.8326 0.6651 0.6764 O
0.5000 0.5000 0.0000 O
0.5000 0.0000 0.0000 O
0.6651 0.8326 0.3236 O
0.0000 0.5000 0.0000 O
0.1674 0.3349 0.3236 O
0.8326 0.1674 0.6764 O
0.1674 0.8326 0.3236 O
0.3333 0.6667 0.1749 Ga
0.6667 0.3333 0.8251 Ga
0.0000 0.0000 0.5000 Hf
0.0000 0.0000 0.0000 Pb
0.6667 0.3333 0.2857 Pb
0.3333 0.6667 0.7143 Pb

PBE Rb2HfGaO5, relaxed; energy relative to the elements, uncorrected = -2.06 eV per atom; DFT total energy = -6.47 eV/atom
1.0
3.2517 0.0000 0.0000
-1.6259 7.9170 0.0000
0.0000 0.0000 13.0061
Ga Rb O Hf
2 4 10 2
direct
0.5655 0.1310 0.9261 Ga
0.4345 0.8690 0.4261 Ga
0.8513 0.7026 0.8234 Rb
0.0788 0.1575 0.6499 Rb
0.1487 0.2974 0.3234 Rb
0.9212 0.8425 0.1499 Rb
0.6715 0.3431 0.5133 O
0.4947 0.9893 0.3080 O
0.6857 0.3714 0.9268 O
0.6994 0.3988 0.1345 O
0.0594 0.1188 0.0045 O
0.3143 0.6286 0.4268 O
0.9406 0.8812 0.5045 O
0.3285 0.6569 0.0133 O
0.3006 0.6012 0.6345 O
0.5053 0.0107 0.8080 O
0.2054 0.4107 0.0374 Hf
0.7946 0.5893 0.5374 Hf

PBE HfGaSbO6, relaxed; energy relative to the elements, uncorrected = -2.22 eV per atom; DFT total energy = -7.43 eV/atom
1.0
4.7446 0.0000 0.0000
0.0000 4.7446 0.0000
0.0000 0.0000 9.3969
O Ga Sb Hf
12 2 2 2
direct
0.8027 0.1973 0.1717 O
0.3008 0.3008 0.3301 O
0.3027 0.3027 0.6717 O
0.8110 0.1890 0.4993 O
0.6973 0.6973 0.6717 O
0.1973 0.8027 0.1717 O
0.3110 0.3110 0.9993 O
0.1890 0.8110 0.4993 O
0.6992 0.6992 0.3301 O
0.8008 0.1992 0.8301 O
0.6890 0.6890 0.9993 O
0.1992 0.8008 0.8301 O
0.0000 0.0000 0.6663 Ga
0.5000 0.5000 0.1663 Ga
0.0000 0.0000 0.3335 Sb
0.5000 0.5000 0.8335 Sb
0.0000 0.0000 0.9980 Hf
0.5000 0.5000 0.4980 Hf

PBE HfSc2GaO, relaxed; energy relative to the elements, uncorrected = -1.33 eV per atom; DFT total energy = -7.46 eV/atom
1.0
4.3711 0.0000 0.0000
0.0000 4.3711 0.0000
0.0000 0.0000 4.3655
Sc O Hf Ga
2 1 1 1
direct
0.0000 0.5000 0.0000 Sc
0.5000 0.0000 0.0000 Sc
0.0000 0.0000 0.0000 O
0.0000 0.0000 0.5000 Hf
0.5000 0.5000 0.5000 Ga

PBE HfGaSeO2, relaxed; energy relative to the elements, uncorrected = -1.43 eV per atom; DFT total energy = -6.71 eV/atom
1.0
3.9462 0.0000 0.0000
0.0000 7.8543 0.0000
0.0000 0.0000 3.9462
Hf O Ga Se
1 2 1 1
direct
0.0000 0.0000 0.0000 Hf
0.5000 0.0000 0.0000 O
0.0000 0.0000 0.5000 O
0.0000 0.5000 0.0000 Ga
0.5000 0.5000 0.5000 Se

PBE HfGaSi2O8, relaxed; energy relative to the elements, uncorrected = -2.45 eV per atom; DFT total energy = -7.74 eV/atom
1.0
5.5056 0.1616 0.0000
-2.2970 5.0061 0.0000
-1.6043 -2.5839 4.5921
O Ga Si Hf
8 1 2 1
direct
0.7663 0.0763 0.6900 O
0.9237 0.2337 0.3100 O
0.3863 0.0763 0.3100 O
0.8712 0.6804 0.1908 O
0.4896 0.6804 0.8092 O
0.3196 0.5104 0.1908 O
0.3196 0.1288 0.8092 O
0.9237 0.6137 0.6900 O
0.2500 0.7500 0.5000 Ga
0.5000 0.5000 0.0000 Si
0.7500 0.2500 0.5000 Si
0.0000 0.0000 0.0000 Hf

PBE Sr3HfGa2O9, relaxed; energy relative to the elements, uncorrected = -2.43 eV per atom; DFT total energy = -6.81 eV/atom
1.0
-5.0339 0.6310 2.5404
0.9349 -4.4643 -3.3746
2.3087 -3.6625 5.4847
O Sr Hf Ga
9 3 1 2
direct
0.1693 0.8307 0.3276 O
0.8307 0.6613 0.6724 O
0.3387 0.1693 0.6724 O
0.1693 0.3387 0.3276 O
0.0000 0.5000 0.0000 O
0.8307 0.1693 0.6724 O
0.6613 0.8307 0.3276 O
0.5000 0.5000 0.0000 O
0.5000 0.0000 0.0000 O
0.3333 0.6667 0.6811 Sr
0.6667 0.3333 0.3189 Sr
0.0000 0.0000 0.0000 Sr
0.0000 0.0000 0.5000 Hf
0.3333 0.6667 0.1681 Ga
0.6667 0.3333 0.8319 Ga

PBE HfGaTe2O, relaxed; energy relative to the elements, uncorrected = -0.28 eV per atom; DFT total energy = -5.12 eV/atom
1.0
-1.3865 -4.9523 -2.1340
1.9102 -1.6189 2.5157
-4.4834 -0.1657 3.2975
Te Hf O Ga
2 1 1 1
direct
0.5000 0.0000 0.0000 Te
0.0000 0.0000 0.5000 Te
0.5000 0.5000 0.5000 Hf
0.0000 0.5000 0.0000 O
0.0000 0.0000 0.0000 Ga